First-principles (GGA+U) data for V2CdF after structural relaxation, as listed in Alexandria.

E above lowest polymorph: 1.54 eV per formula unit
final energy: -15.5 eV for the cell shown

Cell lengths 4.6922, 4.6922, 4.6922 Å; angles 60.00, 60.00, 60.00 degrees
Closest atoms and distances in Å follow each position.
Sites, in units of the cell vectors:
Cd  0.5000  0.5000  0.5000  8 V 2.87
F  0.0000  0.0000  0.0000  8 V 2.87
V  0.7500  0.7500  0.7500  4 F 2.87, 4 Cd 2.87
V  0.2500  0.2500  0.2500  4 Cd 2.87, 4 F 2.87